(1)
VASP calculation (GGA-PBE) on an optimized crystal structure of Hf3SiS.

energy above the lowest structure with this stoichiometry = 0.000 eV per atom
E_form (uncorrected) = -0.54 eV/f.u.

Structure (POSCAR):
```
Hf3SiS
1.0
4.697 0.000 0.000
0.000 4.697 0.000
0.000 0.000 4.697
Hf Si S
3 1 1
direct
0.000 0.000 0.500 Hf
0.000 0.500 0.000 Hf
0.500 0.000 0.000 Hf
0.500 0.500 0.500 Si
0.000 0.000 0.000 S
```

(2)
VASP calculation (GGA-PBE) on an optimized crystal structure of AlPdPbS2.

energy above the lowest structure with this stoichiometry = 0.235 eV per atom
E_form (uncorrected) = 1.50 eV/f.u.

Structure (POSCAR):
```
AlPdPbS2
1.0
4.456 0.000 0.000
0.000 4.456 0.000
0.000 0.000 5.919
Al Pd Pb S
1 1 1 2
direct
0.000 0.000 0.000 Al
0.500 0.500 0.500 Pd
0.000 0.000 0.500 Pb
0.000 0.500 0.000 S
0.500 0.000 0.000 S
```

(3)
VASP calculation (GGA-PBE) on an optimized crystal structure of Zr2AlZn.

formation energy from the elements = -339 meV/atom

Structure (POSCAR):
```
Zr2AlZn
1.0
4.198 0.000 0.000
0.000 1.688 5.509
0.000 -1.688 5.509
Zr Al Zn
2 1 1
direct
0.000 0.000 0.000 Zr
0.500 0.330 0.330 Zr
0.500 0.598 0.598 Al
0.000 0.735 0.735 Zn
```

(4)
VASP calculation (GGA-PBE) on an optimized crystal structure of AcPmPr4Se8.

E_form (uncorrected) = -24.36 eV/f.u.

Structure (POSCAR):
```
AcPmPr4Se8
1.0
4.415 2.549 7.177
-4.415 2.549 7.177
0.000 -5.098 7.177
Ac Pm Pr Se
1 1 4 8
direct
0.000 0.000 0.000 Ac
0.623 0.623 0.623 Pm
0.131 0.623 0.623 Pr
0.249 0.249 0.249 Pr
0.623 0.131 0.623 Pr
0.623 0.623 0.131 Pr
0.381 0.381 0.381 Se
0.385 0.385 0.852 Se
0.385 0.852 0.385 Se
0.411 0.861 0.861 Se
0.852 0.385 0.385 Se
0.861 0.411 0.861 Se
0.861 0.861 0.411 Se
0.863 0.863 0.863 Se
```

(5)
VASP calculation (GGA-PBE) on an optimized crystal structure of Ta2TlSb.

energy above the lowest structure with this stoichiometry = 0.498 eV per atom
E_form (uncorrected) = 2.91 eV/f.u.

Structure (POSCAR):
```
Ta2TlSb
1.0
0.000 3.500 3.500
3.500 0.000 3.500
3.500 3.500 0.000
Ta Tl Sb
2 1 1
direct
0.000 0.000 0.000 Ta
0.250 0.250 0.250 Ta
0.500 0.500 0.500 Tl
0.750 0.750 0.750 Sb
```

(6)
VASP calculation (GGA-PBE) on an optimized crystal structure of Pr2MgURh6.

formation energy from the elements = -364 meV/atom

Structure (POSCAR):
```
Pr2MgURh6
1.0
5.062 -2.927 0.000
5.062 2.927 0.000
-3.365 0.000 7.765
Pr Mg U Rh
2 1 1 6
direct
0.214 0.214 0.141 Pr
0.786 0.786 0.859 Pr
0.000 0.000 0.500 Mg
0.500 0.500 0.000 U
0.234 0.746 0.228 Rh
0.253 0.253 0.772 Rh
0.254 0.766 0.772 Rh
0.746 0.234 0.228 Rh
0.747 0.747 0.228 Rh
0.766 0.254 0.772 Rh
```

(7)
VASP calculation (GGA-PBE) on an optimized crystal structure of NdY2Sc.

energy above the lowest structure with this stoichiometry = 0.120 eV per atom
formation energy from the elements = 149 meV/atom

Structure (POSCAR):
```
NdY2Sc
1.0
0.000 3.969 3.969
3.969 0.000 3.969
3.969 3.969 0.000
Nd Y Sc
1 2 1
direct
0.000 0.000 0.000 Nd
0.250 0.250 0.250 Y
0.750 0.750 0.750 Y
0.500 0.500 0.500 Sc
```

(8)
VASP calculation (GGA-PBE) on an optimized crystal structure of Tm4PdRu3.

formation energy from the elements = -597 meV/atom

Structure (POSCAR):
```
Tm4PdRu3
1.0
4.777 0.000 0.000
0.000 4.777 0.000
0.000 0.000 6.739
Tm Pd Ru
4 1 3
direct
0.000 0.500 0.244 Tm
0.000 0.500 0.756 Tm
0.500 0.000 0.244 Tm
0.500 0.000 0.756 Tm
0.000 0.000 0.500 Pd
0.000 0.000 0.000 Ru
0.500 0.500 0.000 Ru
0.500 0.500 0.500 Ru
```

Number 1: density of states at the Fermi level 3.8 states/eV/cell, raw total energy -39.953 eV per formula unit. Number 2: density of states at the Fermi level 6.0 states/eV/cell, raw total energy -19.399 eV per formula unit. Number 3: density of states at the Fermi level 5.4 states/eV/cell, raw total energy -23.468 eV per formula unit. Number 4: density of states at the Fermi level 9.3 states/eV/cell, raw total energy -80.212 eV per formula unit. Number 5: density of states at the Fermi level 4.8 states/eV/cell, raw total energy -27.282 eV per formula unit. Number 6: density of states at the Fermi level 6.3 states/eV/cell, raw total energy -70.193 eV per formula unit. Number 7: density of states at the Fermi level 9.8 states/eV/cell, raw total energy -23.431 eV per formula unit. Number 8: density of states at the Fermi level 3.7 states/eV/cell, raw total energy -55.679 eV per formula unit.